(1)
A plane-wave DFT calculation with PBE was carried out for Rb3TbCl6 after structural relaxation.

Cell: 25.9793 8.1069 13.2311 Å, 90.00 99.46 90.00°
Last column: nearest neighbours and their distance in Å.
Space group C2/c (No. 15)
Inequivalent atoms, fractional coordinates:
Rb (0.0567, 0.2262, 0.4455)  7 Cl 3.45-3.74
Rb (0.1529, 0.3188, 0.1470)  7 Cl 3.28-3.57
Rb (0.1648, 0.1877, 0.8090)  7 Cl 3.33-3.59
Tb (0.0000, 0.1969, 0.7500)  6 Cl 2.65-2.68
Tb (0.2500, 0.2500, 0.5000)  6 Cl 2.66-2.69
Cl (0.0538, 0.2046, 0.9385)  1 Tb 2.65
Cl (0.0631, 0.0477, 0.2113)  1 Tb 2.68
Cl (0.0628, 0.4136, 0.6810)  1 Tb 2.66
Cl (0.1697, 0.4467, 0.4267)  1 Tb 2.68
Cl (0.1799, 0.0257, 0.5334)  1 Tb 2.66
Cl (0.2502, 0.1193, 0.3136)  1 Tb 2.69

- formation energy (no corrections) (meV per atom) = -2143
- E (eV/atom) = -4.0040
- volume (Å³ per atom) = 34.4

(2)
A plane-wave DFT calculation with PBE was carried out for Rb3Tb2Cl9 after structural relaxation.

Cell: 13.1360 13.1360 18.4869 Å, 90.00 90.00 120.00°
Last column: nearest neighbours and their distance in Å.
Space group R-3c (No. 167, hexagonal axes)
Inequivalent atoms, fractional coordinates:
Rb (0.0000, 0.3318, 0.2500)  12 Cl 3.63-3.95
Tb (0.0000, 0.0000, 0.1473)  6 Cl 2.57-2.77
Cl (0.0000, 0.1531, 0.7500)  2 Tb 2.77
Cl (0.0120, 0.1826, 0.4125)  1 Tb 2.57

- formation energy (no corrections) (meV per atom) = -2172
- E (eV/atom) = -4.2282
- volume (Å³ per atom) = 32.9

(3)
A plane-wave DFT calculation with PBE was carried out for Rb3TbCl6 after structural relaxation.

Cell: 7.8156 8.2379 13.5237 Å, 90.00 124.48 90.00°
Last column: nearest neighbours and their distance in Å.
Space group P2_1/c (No. 14)
Inequivalent atoms, fractional coordinates:
Rb (0.0000, 0.0000, 0.0000)  6 Cl 3.24-3.33
Rb (0.2186, 0.0677, 0.7442)  6 Cl 3.32-3.63
Tb (0.5000, 0.0000, 0.5000)  6 Cl 2.67-2.68
Cl (0.1735, 0.1777, 0.4473)  1 Tb 2.67
Cl (0.2609, 0.7334, 0.4272)  1 Tb 2.68
Cl (0.3988, 0.0521, 0.2781)  1 Tb 2.67

- formation energy (no corrections) (meV per atom) = -2141
- E (eV/atom) = -4.0028
- volume (Å³ per atom) = 35.9

(4)
A plane-wave DFT calculation with PBE was carried out for RbTb4Cl12 after structural relaxation.

Cell: 10.4567 10.4723 10.6420 Å, 90.00 90.00 90.00°
Last column: nearest neighbours and their distance in Å.
Space group Immm (No. 71)
Inequivalent atoms, fractional coordinates:
Rb (0.0000, 0.0000, 0.0000)  8 Cl 3.43-3.45
Tb (0.2500, 0.2500, 0.2500)  6 Cl 2.67-2.68
Cl (0.0000, 0.2986, 0.2665)  2 Tb 2.67
Cl (0.1958, 0.0000, 0.2613)  2 Tb 2.68
Cl (0.2248, 0.2381, 0.0000)  2 Tb 2.68

- formation energy (no corrections) (meV per atom) = -2157
- E (eV/atom) = -4.6070
- volume (Å³ per atom) = 34.3

(5)
A plane-wave DFT calculation with PBE was carried out for Rb2TbCl5 after structural relaxation.

Cell: 13.3790 8.8113 8.3537 Å, 90.00 90.00 90.00°
Last column: nearest neighbours and their distance in Å.
Space group Pnma (No. 62)
Inequivalent atoms, fractional coordinates:
Rb (0.1702, 0.0067, 0.0655)  8 Cl 3.31-3.70
Tb (0.0046, 0.2500, 0.5690)  7 Cl 2.69-2.82
Cl (0.0145, 0.2500, 0.8946)  1 Tb 2.72
Cl (0.0641, 0.5442, 0.6606)  2 Tb 2.80-2.82
Cl (0.1753, 0.2500, 0.3989)  1 Tb 2.69
Cl (0.1909, 0.7500, 0.3566)  1 Tb 2.69

- formation energy (no corrections) (meV per atom) = -2169
- E (eV/atom) = -4.1439
- volume (Å³ per atom) = 30.8

(6)
A plane-wave DFT calculation with PBE was carried out for Rb2TbCl6 after structural relaxation.

Cell: 4.3444 14.4716 8.3430 Å, 90.00 90.00 90.00°
Last column: nearest neighbours and their distance in Å.
Space group Amm2 (No. 38)
Inequivalent atoms, fractional coordinates:
Rb (0.0000, 0.1669, 0.0000)  9 Cl 3.32-3.52
Tb (0.5000, 0.0000, 0.5008)  9 Cl 2.82-2.88
Cl (0.0000, 0.0000, 0.7276)  2 Tb 2.88
Cl (0.0000, 0.1133, 0.3869)  2 Tb 2.88
Cl (0.5000, 0.0000, 0.1624)  1 Tb 2.82
Cl (0.5000, 0.1692, 0.6692)  1 Tb 2.82

- formation energy (no corrections) (meV per atom) = -1793
- E (eV/atom) = -3.7537
- volume (Å³ per atom) = 29.1

(7)
A plane-wave DFT calculation with PBE was carried out for Rb2TbTlCl6 after structural relaxation.

Cell: 7.7298 8.1731 13.4626 Å, 90.00 124.48 90.00°
Last column: nearest neighbours and their distance in Å.
Space group P2_1/c (No. 14)
Inequivalent atoms, fractional coordinates:
Rb (0.2227, 0.0701, 0.2476)  6 Cl 3.32-3.60
Tb (0.5000, 0.0000, 0.0000)  6 Cl 2.67-2.68
Tl (0.0000, 0.0000, 0.5000)  6 Cl 3.19-3.24
Cl (0.1692, 0.1779, 0.9480)  1 Tb 2.67
Cl (0.2660, 0.7282, 0.9349)  1 Tb 2.68
Cl (0.3877, 0.0434, 0.7745)  1 Tb 2.67

- formation energy (no corrections) (meV per atom) = -1952
- E (eV/atom) = -3.9530
- volume (Å³ per atom) = 35.1

(8)
A plane-wave DFT calculation with PBE was carried out for RbTbVCl6 after structural relaxation.

Cell: 6.6857 6.6857 14.9361 Å, 90.00 90.00 120.00°
Last column: nearest neighbours and their distance in Å.
Space group P-31c (No. 163)
Inequivalent atoms, fractional coordinates:
Rb (0.0000, 0.0000, 0.0000)  6 Cl 3.34
Tb (0.3333, 0.6667, 0.2500)  6 Cl 2.67
V (0.3333, 0.6667, 0.7500)  6 Cl 2.50
Cl (0.0191, 0.3770, 0.6513)  1 V 2.50, 1 Tb 2.67

- formation energy (no corrections) (meV per atom) = -1860
- E (eV/atom) = -4.7263
- volume (Å³ per atom) = 32.1

- Look up the formation energy (no corrections) of the second one.
  -2172 meV per atom

- What is the volume in the seventh record?
  35.1 Å³ per atom

- E of number 2 (Rb3Tb2Cl9)?
  -4.2282 eV/atom

- Number 7 is which compound?
  Rb2TbTlCl6